Entry 1:
Computed, not measured: a crystal of SnTe2OsI relaxed with PBEsol at the SCAN level of DFT.

Unit cell a=5.577 b=5.577 c=5.648 alpha=90.00 beta=90.00 gamma=90.00
Space group P4/mmm (No. 123)
Inequivalent atoms, fractional coordinates:
Sn 0.000 0.000 0.000
Te 0.000 0.500 0.000
Os 0.500 0.500 0.500
I 0.000 0.000 0.500

Values from the calculation:
As for the uncorrected formation energy: 38.51 kcal/mol of atoms. Its density of states at the Fermi level is 2.9 states/eV/f.u.

***

Entry 2:
Computed, not measured: a crystal of TlSn2OsI relaxed with PBEsol at the SCAN level of DFT.

Unit cell a=5.035 b=5.035 c=5.925 alpha=90.00 beta=90.00 gamma=90.00
Space group P4/mmm (No. 123)
Inequivalent atoms, fractional coordinates:
Tl 0.000 0.000 0.000
Sn 0.000 0.500 0.500
Os 0.500 0.500 0.500
I 0.500 0.500 0.000

Values from the calculation:
As for the uncorrected formation energy: 7.46 kcal/mol of atoms. Its density of states at the Fermi level is 2.5 states/eV/f.u.

***

Entry 3:
Computed, not measured: a crystal of Sr2OsI relaxed with PBEsol at the SCAN level of DFT.

Unit cell a=7.599 b=7.599 c=7.599 alpha=90.00 beta=90.00 gamma=90.00
Space group Fm-3m (No. 225)
Inequivalent atoms, fractional coordinates:
Sr 0.250 0.250 0.250
Os 0.000 0.000 0.000
I 0.000 0.000 0.500

Values from the calculation:
As for the uncorrected formation energy: 4.01 kcal/mol of atoms. Its density of states at the Fermi level is 2.4 states/eV/f.u.

***

Entry 4:
Computed, not measured: a crystal of SrTe2OsI relaxed with PBEsol at the SCAN level of DFT.

Unit cell a=6.034 b=6.034 c=5.979 alpha=90.00 beta=90.00 gamma=90.00
Space group P4/mmm (No. 123)
Inequivalent atoms, fractional coordinates:
Sr 0.000 0.000 0.000
Te 0.000 0.500 0.000
Os 0.500 0.500 0.500
I 0.000 0.000 0.500

Values from the calculation:
As for the uncorrected formation energy: 29.66 kcal/mol of atoms. Its density of states at the Fermi level is 4.7 states/eV/f.u.

***

Number 1: total magnetization 4.63 μB/cell, V 175.6 Å³/f.u., electronic total energy -210.7 eV/cell. Number 2: total magnetization 0.00 μB/cell, V 150.2 Å³/f.u., electronic total energy -251.2 eV/cell. Number 3: total magnetization 3.99 μB/cell, V 109.7 Å³/f.u., electronic total energy -609.9 eV/cell. Number 4: total magnetization 6.88 μB/cell, V 217.7 Å³/f.u., electronic total energy -199.0 eV/cell.